(1)
# Fe2Ni5Pt5, optimized geometry, DFT GGA-PBE
data_Fe2Ni5Pt5
_chemical_formula_sum 'Fe4 Ni10 Pt10'
_space_group_name_H-M_alt 'C 1 2/m 1'
_space_group_IT_number 12
_cell_length_a 11.903
_cell_length_b 4.335
_cell_length_c 7.086
_cell_angle_alpha 90.00
_cell_angle_beta 119.09
_cell_angle_gamma 90.00
loop_
_space_group_symop_operation_xyz
'x,y,z'
'-x,-y,-z'
'-x,y,-z'
'x,-y,z'
'x+1/2,y+1/2,z'
'-x+1/2,-y+1/2,-z'
'-x+1/2,y+1/2,-z'
'x+1/2,-y+1/2,z'
loop_
_atom_site_label
_atom_site_fract_x
_atom_site_fract_y
_atom_site_fract_z
Fe1 0.156 0.000 0.294
Ni1 0.000 0.000 0.500
Ni2 0.073 0.000 0.889
Ni3 0.236 0.000 0.707
Pt1 0.000 0.500 0.000
Pt2 0.097 0.500 0.436
Pt3 0.182 0.500 0.866
# Distance to the lowest polymorph of the same formula = 70.1 meV per atom
# Total moment = 0.90 μB/atom
# E_tot = -6.409 eV/atom
# Formation energy = -0.07 eV/atom

---

(2)
# Y6Te2Rh, optimized geometry, DFT GGA-PBE
data_Y6Te2Rh
_chemical_formula_sum 'Y24 Te8 Rh4'
_space_group_name_H-M_alt 'P n m a'
_space_group_IT_number 62
_cell_length_a 21.851
_cell_length_b 4.026
_cell_length_c 11.543
_cell_angle_alpha 90.00
_cell_angle_beta 90.00
_cell_angle_gamma 90.00
loop_
_space_group_symop_operation_xyz
'x,y,z'
'-x,-y,-z'
'-x+1/2,-y,z+1/2'
'x+1/2,y,-z+1/2'
'x+1/2,-y+1/2,-z+1/2'
'-x+1/2,y+1/2,z+1/2'
'-x,y+1/2,-z'
'x,-y+1/2,z'
loop_
_atom_site_label
_atom_site_fract_x
_atom_site_fract_y
_atom_site_fract_z
Y1 0.007 0.250 0.117
Y2 0.023 0.750 0.381
Y3 0.110 0.250 0.811
Y4 0.144 0.750 0.065
Y5 0.151 0.250 0.532
Y6 0.235 0.750 0.742
Te1 0.126 0.250 0.268
Te2 0.239 0.250 0.960
Rh1 0.072 0.750 0.642
# Total moment = 0.00 μB/atom
# E_tot = -6.660 eV/atom
# Formation energy without anion corrections = -81 kJ/mol of atoms

---

(3)
# Cs2Tl7Hg, optimized geometry, DFT GGA-PBE
data_Cs2Tl7Hg
_chemical_formula_sum 'Cs2 Tl7 Hg1'
_space_group_name_H-M_alt 'P -4 m 2'
_space_group_IT_number 115
_cell_length_a 5.465
_cell_length_b 5.465
_cell_length_c 12.802
_cell_angle_alpha 90.00
_cell_angle_beta 90.00
_cell_angle_gamma 90.00
loop_
_space_group_symop_operation_xyz
'x,y,z'
'y,-x,-z'
'-x,-y,z'
'-y,x,-z'
'-x,y,z'
'-y,-x,-z'
'x,-y,z'
'y,x,-z'
loop_
_atom_site_label
_atom_site_fract_x
_atom_site_fract_y
_atom_site_fract_z
Cs1 0.000 0.500 0.248
Tl1 0.000 0.000 0.000
Tl2 0.000 0.000 0.500
Tl3 0.000 0.500 0.630
Tl4 0.000 0.500 0.877
Tl5 0.500 0.500 0.500
Hg1 0.500 0.500 0.000
# Total moment = 0.00 μB/atom
# E_tot = -1.939 eV/atom
# Formation energy = -0.08 eV/atom